Record 1
A relaxed VGaCo2 crystal. Source: Alexandria via LeMat-Bulk, functional PBE.

Computed properties:
M_tot: 0.0 μB per formula unit
total DFT energy (no corrections): -27.3 eV per cell
D(E_F): 4.204 states/eV per cell
energy of formation from the pure elements: -0.227 eV per atom

a b c (Å): 2.6879 2.6879 6.5660
angles (deg): 90.00 90.00 90.00
Closest atoms and distances in Å follow each position.
Atoms (fractional coordinates):
V: 0.0000 0.0000 0.0000  8 Co 2.52, 4 V 2.69
Ga: 0.0000 0.0000 0.5000  8 Co 2.51, 4 Ga 2.69
Co: 0.5000 0.5000 0.2514  4 Ga 2.51, 4 V 2.52, 4 Co 2.69
Co: 0.5000 0.5000 0.7486  4 Ga 2.51, 4 V 2.52, 4 Co 2.69


Record 2
A relaxed CrIn2Au crystal. Source: Alexandria via LeMat-Bulk, functional PBE.

Computed properties:
M_tot: 3.9 μB per formula unit
total DFT energy (no corrections): -17.6 eV per cell
relative energy among the computed polymorphs: 0.087 eV per atom
D(E_F): 0.986 states/eV per cell
energy of formation from the pure elements: 0.203 eV per atom

a b c (Å): 4.8587 4.8587 4.8587
angles (deg): 60.00 60.00 60.00
Closest atoms and distances in Å follow each position.
Atoms (fractional coordinates):
Cr: 0.0000 0.0000 0.0000  4 In 2.98, 4 Au 2.98
In: 0.2500 0.2500 0.2500  4 Cr 2.98, 4 In 2.98
In: 0.5000 0.5000 0.5000  4 In 2.98, 4 Au 2.98
Au: 0.7500 0.7500 0.7500  4 In 2.98, 4 Cr 2.98


Record 3
A relaxed BaCdI2O crystal. Source: Alexandria via LeMat-Bulk, functional PBE.

Computed properties:
M_tot: 0.1 μB per formula unit
total DFT energy (no corrections): -16.1 eV per cell
relative energy among the computed polymorphs: 0.000 eV per atom
raw formation energy: -1.034 eV per atom
D(E_F): 3.253 states/eV per cell

a b c (Å): 6.1258 6.1258 4.2266
angles (deg): 90.00 90.00 90.00
Closest atoms and distances in Å follow each position.
Atoms (fractional coordinates):
Ba: 0.0000 0.0000 0.0000  8 I 3.72
Cd: 0.5000 0.5000 0.5000  2 O 2.11
I: 0.0000 0.5000 0.5000  2 Cd 3.06
I: 0.5000 0.0000 0.5000  2 Cd 3.06
O: 0.5000 0.5000 0.0000  2 Cd 2.11


Record 4
A relaxed Nd6In2Pt crystal. Source: Alexandria via LeMat-Bulk, functional PBE.

Computed properties:
M_tot: 0.0 μB per formula unit
total DFT energy (no corrections): -87.9 eV per cell
relative energy among the computed polymorphs: 0.062 eV per atom
D(E_F): 24.589 states/eV per cell
energy of formation from the pure elements: -0.427 eV per atom

a b c (Å): 10.2632 10.2685 5.1901
angles (deg): 90.00 90.00 90.00
Closest atoms and distances in Å follow each position.
Atoms (fractional coordinates):
Nd: 0.0249 0.1941 0.0000  1 Pt 3.15, 3 In 3.26-3.36
Nd: 0.1143 0.6135 0.5000  2 Pt 3.08, 1 Nd 3.31, 1 In 3.44
Nd: 0.1937 0.9746 0.5000  1 Pt 3.15, 3 In 3.26-3.36
Nd: 0.3063 0.4746 0.0000  1 Pt 3.15, 3 In 3.26-3.36
Nd: 0.3857 0.1135 0.0000  2 Pt 3.08, 1 Nd 3.31, 1 In 3.44
Nd: 0.4751 0.6941 0.5000  1 Pt 3.15, 3 In 3.26-3.36
Nd: 0.5249 0.3059 0.5000  1 Pt 3.15, 3 In 3.26-3.36
Nd: 0.6143 0.8865 0.0000  2 Pt 3.08, 1 Nd 3.31, 1 In 3.44
Nd: 0.6937 0.5254 0.0000  1 Pt 3.15, 3 In 3.26-3.36
Nd: 0.8063 0.0254 0.5000  1 Pt 3.15, 3 In 3.26-3.36
Nd: 0.8857 0.3865 0.5000  2 Pt 3.08, 1 Nd 3.31, 1 In 3.44
Nd: 0.9751 0.8059 0.0000  1 Pt 3.15, 3 In 3.26-3.36
In: 0.2079 0.2915 0.5000  8 Nd 3.26-3.45
In: 0.2921 0.7915 0.0000  8 Nd 3.26-3.45
In: 0.7079 0.2085 0.0000  8 Nd 3.26-3.45
In: 0.7921 0.7085 0.5000  8 Nd 3.26-3.45
Pt: 0.0000 0.5000 0.0000  8 Nd 3.08-3.15
Pt: 0.5000 0.0000 0.5000  8 Nd 3.08-3.15


Record 5
A relaxed Co4Te5 crystal. Source: Alexandria via LeMat-Bulk, functional PBE.

Computed properties:
M_tot: 8.1 μB per formula unit
total DFT energy (no corrections): -38.1 eV per cell
relative energy among the computed polymorphs: 0.333 eV per atom
raw formation energy: 0.675 eV per atom
D(E_F): 10.923 states/eV per cell

a b c (Å): 7.6610 7.6610 7.6610
angles (deg): 93.45 93.45 151.61
Closest atoms and distances in Å follow each position.
Atoms (fractional coordinates):
Co: 0.0000 0.3908 0.3908  5 Co 2.29-2.48
Co: 0.0000 0.6092 0.6092  5 Co 2.29-2.48
Co: 0.3908 0.0000 0.3908  5 Co 2.29-2.48
Co: 0.6092 0.0000 0.6092  5 Co 2.29-2.48
Te: 0.0000 0.0000 0.0000  8 Te 3.20
Te: 0.3255 0.3255 0.6510  4 Te 2.93-3.20
Te: 0.3255 0.6745 0.0000  4 Te 2.93-3.20
Te: 0.6745 0.3255 0.0000  4 Te 2.93-3.20
Te: 0.6745 0.6745 0.3490  4 Te 2.93-3.20


Record 6
A relaxed RhSe3I crystal. Source: Alexandria via LeMat-Bulk, functional PBE.

Computed properties:
M_tot: 0.0 μB per formula unit
total DFT energy (no corrections): -17.5 eV per cell
relative energy among the computed polymorphs: 0.000 eV per atom
raw formation energy: 0.363 eV per atom
D(E_F): 5.687 states/eV per cell

a b c (Å): 4.9418 4.9418 4.9418
angles (deg): 90.00 90.00 90.00
Closest atoms and distances in Å follow each position.
Atoms (fractional coordinates):
Rh: 0.0000 0.0000 0.0000  6 Se 2.47
Se: 0.0000 0.0000 0.5000  2 Rh 2.47
Se: 0.0000 0.5000 0.0000  2 Rh 2.47
Se: 0.5000 0.0000 0.0000  2 Rh 2.47
I: 0.5000 0.5000 0.5000  12 Se 3.49


Record 7
A relaxed Ga2PClF crystal. Source: Alexandria via LeMat-Bulk, functional PBE.

Computed properties:
M_tot: 0.0 μB per formula unit
total DFT energy (no corrections): -16.3 eV per cell
raw formation energy: -0.216 eV per atom
D(E_F): 2.349 states/eV per cell

a b c (Å): 5.3906 5.3906 3.8873
angles (deg): 90.00 90.00 90.00
Closest atoms and distances in Å follow each position.
Atoms (fractional coordinates):
Ga: 0.0000 0.5000 0.0000  2 F 2.70
Ga: 0.5000 0.0000 0.0000  2 F 2.70
P: 0.0000 0.0000 0.5000  2 F 1.94
Cl: 0.5000 0.5000 0.5000  8 Ga 3.32
F: 0.0000 0.0000 0.0000  2 P 1.94


Record 8
A relaxed Tl2IrBr2Cl4 crystal. Source: Alexandria via LeMat-Bulk, functional PBE.

Computed properties:
M_tot: 1.0 μB per formula unit
total DFT energy (no corrections): -30.4 eV per cell
raw formation energy: -0.674 eV per atom
D(E_F): 8.155 states/eV per cell

a b c (Å): 7.1898 7.1898 7.2222
angles (deg): 119.80 119.80 59.12
Closest atoms and distances in Å follow each position.
Atoms (fractional coordinates):
Tl: 0.2491 0.2491 0.2733  4 Cl 3.34, 3 Br 3.42-3.59
Tl: 0.7509 0.7509 0.7267  4 Cl 3.34, 3 Br 3.42-3.59
Ir: 0.0000 0.0000 0.5000  4 Cl 2.34, 2 Br 2.49
Br: 0.2398 0.2398 0.7902  1 Ir 2.49
Br: 0.7602 0.7602 0.2098  1 Ir 2.49
Cl: 0.2068 0.7414 0.7015  1 Ir 2.34
Cl: 0.2586 0.7932 0.2985  1 Ir 2.34
Cl: 0.7414 0.2068 0.7015  1 Ir 2.34
Cl: 0.7932 0.2586 0.2985  1 Ir 2.34